1.
# GGA-PBE VTe, optimized geometry
data_VTe
_chemical_formula_sum 'V4 Te4'
_cell_length_a 3.492
_cell_length_b 3.492
_cell_length_c 15.865
_cell_angle_alpha 90.00
_cell_angle_beta 90.00
_cell_angle_gamma 90.00
_space_group_name_H-M_alt 'P 1'
_space_group_IT_number 1
_space_group_name_Hall 'P 1'
loop_
_atom_site_label
_atom_site_type_symbol
_atom_site_fract_x
_atom_site_fract_y
_atom_site_fract_z
V1 V 0.000 0.000 0.062
V2 V 0.000 0.000 0.938
V3 V 0.500 0.500 0.438
V4 V 0.500 0.500 0.562
Te1 Te 0.000 0.000 0.364
Te2 Te 0.000 0.000 0.636
Te3 Te 0.500 0.500 0.136
Te4 Te 0.500 0.500 0.864
# - Mass density: 6.1 g cm⁻³
# - Raw formation energy: -0.060 eV per atom
# - E: -6.190 eV/atom
# - M_tot: 0.0 μB per cell

=====

2.
# GGA-PBE CaTlCl2, optimized geometry
data_CaTlCl2
_chemical_formula_sum 'Ca3 Tl3 Cl6'
_cell_length_a 4.065
_cell_length_b 4.065
_cell_length_c 25.529
_cell_angle_alpha 90.00
_cell_angle_beta 90.00
_cell_angle_gamma 120.00
_space_group_name_H-M_alt 'P 1'
_space_group_IT_number 1
_space_group_name_Hall 'P 1'
loop_
_atom_site_label
_atom_site_type_symbol
_atom_site_fract_x
_atom_site_fract_y
_atom_site_fract_z
Ca1 Ca 0.000 0.000 0.000
Ca2 Ca 0.333 0.667 0.667
Ca3 Ca 0.667 0.333 0.333
Tl1 Tl 0.000 0.000 0.238
Tl2 Tl 0.333 0.667 0.905
Tl3 Tl 0.667 0.333 0.572
Cl1 Cl 0.000 0.000 0.501
Cl2 Cl 0.000 0.000 0.718
Cl3 Cl 0.333 0.667 0.168
Cl4 Cl 0.333 0.667 0.384
Cl5 Cl 0.667 0.333 0.051
Cl6 Cl 0.667 0.333 0.835
# - Mass density: 4.3 g cm⁻³
# - Raw formation energy: -1.151 eV per atom
# - E: -3.166 eV/atom
# - M_tot: 0.0 μB per cell

=====

3.
# GGA-PBE In3CoAu, optimized geometry
data_In3CoAu
_chemical_formula_sum 'In3 Co1 Au1'
_cell_length_a 4.917
_cell_length_b 4.917
_cell_length_c 4.917
_cell_angle_alpha 90.00
_cell_angle_beta 90.00
_cell_angle_gamma 90.00
_space_group_name_H-M_alt 'P 1'
_space_group_IT_number 1
_space_group_name_Hall 'P 1'
loop_
_atom_site_label
_atom_site_type_symbol
_atom_site_fract_x
_atom_site_fract_y
_atom_site_fract_z
In1 In 0.000 0.000 0.500
In2 In 0.000 0.500 0.000
In3 In 0.500 0.000 0.000
Co1 Co 0.000 0.000 0.000
Au1 Au 0.500 0.500 0.500
# - Mass density: 8.4 g cm⁻³
# - E: -3.612 eV/atom
# - M_tot: 0.0 μB per cell
# - Formation energy: 0.108 eV/atom

=====

4.
# GGA-PBE Sm3BiSe2, optimized geometry
data_Sm3BiSe2
_chemical_formula_sum 'Sm6 Bi2 Se4'
_cell_length_a 7.549
_cell_length_b 7.549
_cell_length_c 10.848
_cell_angle_alpha 90.00
_cell_angle_beta 90.00
_cell_angle_gamma 145.10
_space_group_name_H-M_alt 'P 1'
_space_group_IT_number 1
_space_group_name_Hall 'P 1'
loop_
_atom_site_label
_atom_site_type_symbol
_atom_site_fract_x
_atom_site_fract_y
_atom_site_fract_z
Sm1 Sm 0.090 0.910 0.750
Sm2 Sm 0.354 0.646 0.552
Sm3 Sm 0.354 0.646 0.948
Sm4 Sm 0.646 0.354 0.052
Sm5 Sm 0.646 0.354 0.448
Sm6 Sm 0.910 0.090 0.250
Bi1 Bi 0.247 0.753 0.250
Bi2 Bi 0.753 0.247 0.750
Se1 Se 0.000 0.000 0.000
Se2 Se 0.000 0.000 0.500
Se3 Se 0.477 0.523 0.750
Se4 Se 0.523 0.477 0.250
# - Mass density: 7.7 g cm⁻³
# - Raw formation energy: -1.251 eV per atom
# - E: -5.419 eV/atom
# - M_tot: 0.0 μB per cell

=====

5.
# GGA-PBE RbMgCu2, optimized geometry
data_RbMgCu2
_chemical_formula_sum 'Rb4 Mg4 Cu8'
_cell_length_a 5.096
_cell_length_b 5.096
_cell_length_c 18.201
_cell_angle_alpha 90.00
_cell_angle_beta 90.00
_cell_angle_gamma 90.00
_space_group_name_H-M_alt 'P 1'
_space_group_IT_number 1
_space_group_name_Hall 'P 1'
loop_
_atom_site_label
_atom_site_type_symbol
_atom_site_fract_x
_atom_site_fract_y
_atom_site_fract_z
Rb1 Rb 0.000 0.250 0.375
Rb2 Rb 0.000 0.750 0.625
Rb3 Rb 0.500 0.250 0.125
Rb4 Rb 0.500 0.750 0.875
Mg1 Mg 0.000 0.250 0.875
Mg2 Mg 0.000 0.750 0.125
Mg3 Mg 0.500 0.250 0.625
Mg4 Mg 0.500 0.750 0.375
Cu1 Cu 0.000 0.000 0.000
Cu2 Cu 0.000 0.500 0.000
Cu3 Cu 0.250 0.250 0.750
Cu4 Cu 0.250 0.750 0.250
Cu5 Cu 0.500 0.000 0.500
Cu6 Cu 0.500 0.500 0.500
Cu7 Cu 0.750 0.250 0.750
Cu8 Cu 0.750 0.750 0.250
# - Mass density: 3.3 g cm⁻³
# - E: -2.312 eV/atom
# - M_tot: 0.0 μB per cell
# - Formation energy: 0.377 eV/atom

=====

6.
# GGA-PBE Cs2PmPbCl6, optimized geometry
data_Cs2PmPbCl6
_chemical_formula_sum 'Cs4 Pm2 Pb2 Cl12'
_cell_length_a 7.608
_cell_length_b 11.093
_cell_length_c 9.251
_cell_angle_alpha 90.00
_cell_angle_beta 90.00
_cell_angle_gamma 90.00
_space_group_name_H-M_alt 'P 1'
_space_group_IT_number 1
_space_group_name_Hall 'P 1'
loop_
_atom_site_label
_atom_site_type_symbol
_atom_site_fract_x
_atom_site_fract_y
_atom_site_fract_z
Cs1 Cs 0.250 0.008 0.197
Cs2 Cs 0.250 0.492 0.197
Cs3 Cs 0.750 0.508 0.803
Cs4 Cs 0.750 0.992 0.803
Pm1 Pm 0.250 0.750 0.773
Pm2 Pm 0.750 0.250 0.227
Pb1 Pb 0.250 0.250 0.714
Pb2 Pb 0.750 0.750 0.286
Cl1 Cl 0.003 0.750 0.989
Cl2 Cl 0.014 0.250 0.420
Cl3 Cl 0.250 0.504 0.791
Cl4 Cl 0.250 0.996 0.791
Cl5 Cl 0.486 0.250 0.420
Cl6 Cl 0.497 0.750 0.989
Cl7 Cl 0.503 0.250 0.011
Cl8 Cl 0.514 0.750 0.580
Cl9 Cl 0.750 0.004 0.209
Cl10 Cl 0.750 0.496 0.209
Cl11 Cl 0.986 0.750 0.580
Cl12 Cl 0.997 0.250 0.011
# - Mass density: 3.5 g cm⁻³
# - Raw formation energy: -1.774 eV per atom
# - E: -3.899 eV/atom
# - M_tot: 2.0 μB per cell

=====

7.
# GGA-PBE Na3Ac2MnS6, optimized geometry
data_Na3Ac2MnS6
_chemical_formula_sum 'Na3 Ac2 Mn1 S6'
_cell_length_a 7.170
_cell_length_b 7.170
_cell_length_c 7.114
_cell_angle_alpha 99.51
_cell_angle_beta 99.51
_cell_angle_gamma 120.20
_space_group_name_H-M_alt 'P 1'
_space_group_IT_number 1
_space_group_name_Hall 'P 1'
loop_
_atom_site_label
_atom_site_type_symbol
_atom_site_fract_x
_atom_site_fract_y
_atom_site_fract_z
Na1 Na 0.000 0.000 0.000
Na2 Na 0.339 0.661 0.000
Na3 Na 0.661 0.339 0.000
Ac1 Ac 0.170 0.830 0.500
Ac2 Ac 0.830 0.170 0.500
Mn1 Mn 0.500 0.500 0.500
S1 S 0.116 0.418 0.261
S2 S 0.294 0.294 0.707
S3 S 0.418 0.116 0.261
S4 S 0.582 0.884 0.739
S5 S 0.706 0.706 0.293
S6 S 0.884 0.582 0.739
# - Mass density: 4.3 g cm⁻³
# - Raw formation energy: -1.396 eV per atom
# - E: -5.239 eV/atom
# - M_tot: 4.0 μB per cell

=====

8.
# GGA-PBE TlBrO2, optimized geometry
data_TlBrO2
_chemical_formula_sum 'Tl4 Br4 O8'
_cell_length_a 4.928
_cell_length_b 4.928
_cell_length_c 10.771
_cell_angle_alpha 90.00
_cell_angle_beta 90.00
_cell_angle_gamma 90.00
_space_group_name_H-M_alt 'P 1'
_space_group_IT_number 1
_space_group_name_Hall 'P 1'
loop_
_atom_site_label
_atom_site_type_symbol
_atom_site_fract_x
_atom_site_fract_y
_atom_site_fract_z
Tl1 Tl 0.000 0.250 0.375
Tl2 Tl 0.000 0.750 0.625
Tl3 Tl 0.500 0.250 0.125
Tl4 Tl 0.500 0.750 0.875
Br1 Br 0.000 0.250 0.875
Br2 Br 0.000 0.750 0.125
Br3 Br 0.500 0.250 0.625
Br4 Br 0.500 0.750 0.375
O1 O 0.000 0.250 0.170
O2 O 0.000 0.250 0.580
O3 O 0.000 0.750 0.420
O4 O 0.000 0.750 0.830
O5 O 0.500 0.250 0.330
O6 O 0.500 0.250 0.920
O7 O 0.500 0.750 0.080
O8 O 0.500 0.750 0.670
# - Mass density: 8.0 g cm⁻³
# - Raw formation energy: 0.006 eV per atom
# - E: -3.483 eV/atom
# - M_tot: 0.0 μB per cell

=====

9.
# GGA-PBE CaPdO, optimized geometry
data_CaPdO
_chemical_formula_sum 'Ca2 Pd2 O2'
_cell_length_a 4.270
_cell_length_b 4.097
_cell_length_c 6.637
_cell_angle_alpha 90.00
_cell_angle_beta 95.20
_cell_angle_gamma 90.00
_space_group_name_H-M_alt 'P 1'
_space_group_IT_number 1
_space_group_name_Hall 'P 1'
loop_
_atom_site_label
_atom_site_type_symbol
_atom_site_fract_x
_atom_site_fract_y
_atom_site_fract_z
Ca1 Ca 0.000 0.000 0.000
Ca2 Ca 0.255 0.500 0.572
Pd1 Pd 0.490 0.500 0.153
Pd2 Pd 0.748 0.000 0.430
O1 O 0.178 0.500 0.895
O2 O 0.739 0.500 0.444
# - Mass density: 4.7 g cm⁻³
# - Raw formation energy: -1.390 eV per atom
# - E: -5.441 eV/atom
# - M_tot: 0.0 μB per cell

=====

10.
# GGA-PBE Tb2Pm3Se8, optimized geometry
data_Tb2Pm3Se8
_chemical_formula_sum 'Tb2 Pm3 Se8'
_cell_length_a 8.380
_cell_length_b 8.380
_cell_length_c 7.126
_cell_angle_alpha 107.21
_cell_angle_beta 107.21
_cell_angle_gamma 60.07
_space_group_name_H-M_alt 'P 1'
_space_group_IT_number 1
_space_group_name_Hall 'P 1'
loop_
_atom_site_label
_atom_site_type_symbol
_atom_site_fract_x
_atom_site_fract_y
_atom_site_fract_z
Tb1 Tb 0.242 0.242 0.159
Tb2 Tb 0.758 0.758 0.841
Pm1 Pm 0.237 0.763 0.500
Pm2 Pm 0.500 0.500 0.000
Pm3 Pm 0.763 0.237 0.500
Se1 Se 0.120 0.120 0.398
Se2 Se 0.136 0.611 0.083
Se3 Se 0.379 0.379 0.570
Se4 Se 0.389 0.864 0.917
Se5 Se 0.611 0.136 0.083
Se6 Se 0.621 0.621 0.430
Se7 Se 0.864 0.389 0.917
Se8 Se 0.880 0.880 0.602
# - Mass density: 5.6 g cm⁻³
# - Raw formation energy: -1.686 eV per atom
# - E: -5.639 eV/atom
# - M_tot: 0.0 μB per cell

=====

11.
# GGA-PBE CrAu2Cl, optimized geometry
data_CrAu2Cl
_chemical_formula_sum 'Cr2 Au4 Cl2'
_cell_length_a 3.796
_cell_length_b 3.796
_cell_length_c 11.240
_cell_angle_alpha 90.00
_cell_angle_beta 90.00
_cell_angle_gamma 90.00
_space_group_name_H-M_alt 'P 1'
_space_group_IT_number 1
_space_group_name_Hall 'P 1'
loop_
_atom_site_label
_atom_site_type_symbol
_atom_site_fract_x
_atom_site_fract_y
_atom_site_fract_z
Cr1 Cr 0.000 0.000 0.000
Cr2 Cr 0.500 0.500 0.500
Au1 Au 0.000 0.500 0.250
Au2 Au 0.000 0.500 0.750
Au3 Au 0.500 0.000 0.250
Au4 Au 0.500 0.000 0.750
Cl1 Cl 0.000 0.000 0.500
Cl2 Cl 0.500 0.500 0.000
# - Mass density: 9.9 g cm⁻³
# - Raw formation energy: 0.134 eV per atom
# - E: -4.372 eV/atom
# - M_tot: 9.0 μB per cell

=====

12.
# GGA-PBE MgTi2GaC, optimized geometry
data_MgTi2GaC
_chemical_formula_sum 'Mg1 Ti2 Ga1 C1'
_cell_length_a 4.196
_cell_length_b 4.196
_cell_length_c 4.245
_cell_angle_alpha 90.00
_cell_angle_beta 90.00
_cell_angle_gamma 90.00
_space_group_name_H-M_alt 'P 1'
_space_group_IT_number 1
_space_group_name_Hall 'P 1'
loop_
_atom_site_label
_atom_site_type_symbol
_atom_site_fract_x
_atom_site_fract_y
_atom_site_fract_z
Mg1 Mg 0.000 0.000 0.000
Ti1 Ti 0.000 0.500 0.500
Ti2 Ti 0.500 0.000 0.500
Ga1 Ga 0.500 0.500 0.000
C1 C 0.000 0.000 0.500
# - Mass density: 4.5 g cm⁻³
# - E: -6.283 eV/atom
# - M_tot: 0.0 μB per cell
# - Formation energy: -0.356 eV/atom